No. 1
The following is a DFT calculation (PBE) of a relaxed MnV3Pb crystal.

Computed properties:
Relative energy among the computed polymorphs (eV/atom): 0.0000

Cell and atoms, written as CIF:
```
data_MnV3Pb
_cell_length_a 4.392
_cell_length_b 4.392
_cell_length_c 4.392
_cell_angle_alpha 90.00
_cell_angle_beta 90.00
_cell_angle_gamma 90.00
_space_group_name_H-M_alt 'P m -3 m'
_space_group_IT_number 221
_space_group_name_Hall '-P 4 2 3'
loop_
_atom_site_label
_atom_site_type_symbol
_atom_site_fract_x
_atom_site_fract_y
_atom_site_fract_z
_atom_site_occupancy
Mn1 Mn 0.000 0.000 0.000 1
V1 V 0.000 0.000 0.500 1
Pb1 Pb 0.500 0.500 0.500 1
```


No. 2
The following is a DFT calculation (PBE) of a relaxed Pu2InI6 crystal.

Computed properties:
Formation energy from raw total energies (eV per atom): -0.97

Cell and atoms, written as CIF:
```
data_Pu2InI6
_cell_length_a 7.9951
_cell_length_b 7.9951
_cell_length_c 7.6605
_cell_angle_alpha 90.00
_cell_angle_beta 90.00
_cell_angle_gamma 120.00
_space_group_name_H-M_alt 'P -3 1 m'
_space_group_IT_number 162
_space_group_name_Hall '-P 3 2'
loop_
_atom_site_label
_atom_site_type_symbol
_atom_site_fract_x
_atom_site_fract_y
_atom_site_fract_z
_atom_site_occupancy
Pu1 Pu 0.3333 0.6667 0.0000 1
In1 In 0.0000 0.0000 0.5000 1
I1 I 0.0000 0.3617 0.2399 1
```


No. 3
The following is a DFT calculation (PBE) of a relaxed Li2TaPd2 crystal.

Computed properties:
Relative energy among the computed polymorphs (eV/atom): 0.0000

Cell and atoms, written as CIF:
```
data_Li2TaPd2
_cell_length_a 7.142
_cell_length_b 7.142
_cell_length_c 2.782
_cell_angle_alpha 90.00
_cell_angle_beta 90.00
_cell_angle_gamma 90.00
_space_group_name_H-M_alt 'P 4/m b m'
_space_group_IT_number 127
_space_group_name_Hall '-P 4 2ab'
loop_
_atom_site_label
_atom_site_type_symbol
_atom_site_fract_x
_atom_site_fract_y
_atom_site_fract_z
_atom_site_occupancy
Li1 Li 0.109 0.391 0.000 1
Ta1 Ta 0.000 0.000 0.000 1
Pd1 Pd 0.192 0.692 0.500 1
```


No. 4
The following is a DFT calculation (PBE) of a relaxed AcTm2Be crystal.

Computed properties:
Relative energy among the computed polymorphs (eV/atom): 0.0000

Cell and atoms, written as CIF:
```
data_AcTm2Be
_cell_length_a 3.509
_cell_length_b 3.509
_cell_length_c 8.992
_cell_angle_alpha 90.00
_cell_angle_beta 90.00
_cell_angle_gamma 90.00
_space_group_name_H-M_alt 'P 4/m m m'
_space_group_IT_number 123
_space_group_name_Hall '-P 4 2'
loop_
_atom_site_label
_atom_site_type_symbol
_atom_site_fract_x
_atom_site_fract_y
_atom_site_fract_z
_atom_site_occupancy
Ac1 Ac 0.000 0.000 0.000 1
Tm1 Tm 0.500 0.500 0.321 1
Be1 Be 0.000 0.000 0.500 1
```


No. 5
The following is a DFT calculation (PBE) of a relaxed PrNbOs4 crystal.

Cell and atoms, written as CIF:
```
data_PrNbOs4
_cell_length_a 7.517
_cell_length_b 7.517
_cell_length_c 7.517
_cell_angle_alpha 90.00
_cell_angle_beta 90.00
_cell_angle_gamma 90.00
_space_group_name_H-M_alt 'F -4 3 m'
_space_group_IT_number 216
_space_group_name_Hall 'F -4 2 3'
loop_
_atom_site_label
_atom_site_type_symbol
_atom_site_fract_x
_atom_site_fract_y
_atom_site_fract_z
_atom_site_occupancy
Pr1 Pr 0.000 0.000 0.000 1
Nb1 Nb 0.250 0.250 0.250 1
Os1 Os 0.125 0.125 0.625 1
```


No. 6
The following is a DFT calculation (PBE) of a relaxed YAl2Fe crystal.

Cell and atoms, written as CIF:
```
data_YAl2Fe
_cell_length_a 3.048
_cell_length_b 3.048
_cell_length_c 7.275
_cell_angle_alpha 90.00
_cell_angle_beta 90.00
_cell_angle_gamma 90.00
_space_group_name_H-M_alt 'P 4/m m m'
_space_group_IT_number 123
_space_group_name_Hall '-P 4 2'
loop_
_atom_site_label
_atom_site_type_symbol
_atom_site_fract_x
_atom_site_fract_y
_atom_site_fract_z
_atom_site_occupancy
Y1 Y 0.000 0.000 0.000 1
Al1 Al 0.500 0.500 0.319 1
Fe1 Fe 0.000 0.000 0.500 1
```


No. 7
The following is a DFT calculation (PBE) of a relaxed HoBi2H crystal.

Cell and atoms, written as CIF:
```
data_HoBi2H
_cell_length_a 6.145
_cell_length_b 3.547
_cell_length_c 9.661
_cell_angle_alpha 90.00
_cell_angle_beta 102.04
_cell_angle_gamma 90.00
_space_group_name_H-M_alt 'C 1 m 1'
_space_group_IT_number 8
_space_group_name_Hall 'C -2y'
loop_
_atom_site_label
_atom_site_type_symbol
_atom_site_fract_x
_atom_site_fract_y
_atom_site_fract_z
_atom_site_occupancy
Ho1 Ho 0.000 0.000 0.000 1
Bi1 Bi 0.238 0.000 0.710 1
Bi2 Bi 0.429 0.000 0.291 1
H1 H 0.167 0.500 0.002 1
```


No. 8
The following is a DFT calculation (PBE) of a relaxed Dy2SCl crystal.

Computed properties:
Relative energy among the computed polymorphs (eV/atom): 0.0000
Formation energy from raw total energies (eV per atom): -1.58

Cell and atoms, written as CIF:
```
data_Dy2SCl
_cell_length_a 3.7788
_cell_length_b 3.7788
_cell_length_c 21.7105
_cell_angle_alpha 90.00
_cell_angle_beta 90.00
_cell_angle_gamma 120.00
_space_group_name_H-M_alt 'R -3 m'
_space_group_IT_number 166
_space_group_name_Hall '-R 3 2"'
loop_
_atom_site_label
_atom_site_type_symbol
_atom_site_fract_x
_atom_site_fract_y
_atom_site_fract_z
_atom_site_occupancy
Dy1 Dy 0.0000 0.0000 0.2360 1
S1 S 0.0000 0.0000 0.5000 1
Cl1 Cl 0.0000 0.0000 0.0000 1
```


No. 9
The following is a DFT calculation (PBE) of a relaxed MnPt4Rh5 crystal.

Cell and atoms, written as CIF:
```
data_MnPt4Rh5
_cell_length_a 13.658
_cell_length_b 3.967
_cell_length_c 6.723
_cell_angle_alpha 90.00
_cell_angle_beta 119.23
_cell_angle_gamma 90.00
_space_group_name_H-M_alt 'C 1 2/m 1'
_space_group_IT_number 12
_space_group_name_Hall '-C 2y'
loop_
_atom_site_label
_atom_site_type_symbol
_atom_site_fract_x
_atom_site_fract_y
_atom_site_fract_z
_atom_site_occupancy
Mn1 Mn 0.000 0.000 0.000 1
Pt1 Pt 0.019 0.500 0.256 1
Pt2 Pt 0.174 0.000 0.417 1
Rh1 Rh 0.000 0.000 0.500 1
Rh2 Rh 0.170 0.500 0.724 1
Rh3 Rh 0.182 0.500 0.122 1
```


No. 10
The following is a DFT calculation (PBE) of a relaxed CoCuPtAu crystal.

Cell and atoms, written as CIF:
```
data_CoCuPtAu
_cell_length_a 6.121
_cell_length_b 6.121
_cell_length_c 6.121
_cell_angle_alpha 90.00
_cell_angle_beta 90.00
_cell_angle_gamma 90.00
_space_group_name_H-M_alt 'F -4 3 m'
_space_group_IT_number 216
_space_group_name_Hall 'F -4 2 3'
loop_
_atom_site_label
_atom_site_type_symbol
_atom_site_fract_x
_atom_site_fract_y
_atom_site_fract_z
_atom_site_occupancy
Co1 Co 0.000 0.000 0.000 1
Cu1 Cu 0.000 0.000 0.500 1
Pt1 Pt 0.250 0.250 0.250 1
Au1 Au 0.250 0.250 0.750 1
```


No. 11
The following is a DFT calculation (PBE) of a relaxed ZrCdPt crystal.

Cell and atoms, written as CIF:
```
data_ZrCdPt
_cell_length_a 4.7254
_cell_length_b 4.7254
_cell_length_c 2.9309
_cell_angle_alpha 90.00
_cell_angle_beta 90.00
_cell_angle_gamma 120.00
_space_group_name_H-M_alt 'P -6 m 2'
_space_group_IT_number 187
_space_group_name_Hall 'P -6 2'
loop_
_atom_site_label
_atom_site_type_symbol
_atom_site_fract_x
_atom_site_fract_y
_atom_site_fract_z
_atom_site_occupancy
Zr1 Zr 0.0000 0.0000 0.0000 1
Cd1 Cd 0.6667 0.3333 0.5000 1
Pt1 Pt 0.3333 0.6667 0.5000 1
```


No. 12
The following is a DFT calculation (PBE) of a relaxed Pm12Pr5Nd2 crystal.

Cell and atoms, written as CIF:
```
data_Pm12Pr5Nd2
_cell_length_a 18.798
_cell_length_b 7.221
_cell_length_c 10.636
_cell_angle_alpha 90.00
_cell_angle_beta 111.25
_cell_angle_gamma 90.00
_space_group_name_H-M_alt 'C 1 2/m 1'
_space_group_IT_number 12
_space_group_name_Hall '-C 2y'
loop_
_atom_site_label
_atom_site_type_symbol
_atom_site_fract_x
_atom_site_fract_y
_atom_site_fract_z
_atom_site_occupancy
Pm1 Pm 0.001 0.000 0.172 1
Pm2 Pm 0.028 0.500 0.746 1
Pm3 Pm 0.159 0.253 0.367 1
Pm4 Pm 0.166 0.247 0.022 1
Pr1 Pr 0.000 0.500 0.000 1
Pr2 Pr 0.176 0.000 0.711 1
Pr3 Pr 0.188 0.500 0.683 1
Nd1 Nd 0.000 0.222 0.500 1
```


No. 13
The following is a DFT calculation (PBE) of a relaxed GdSe2 crystal.

Computed properties:
Formation energy from raw total energies (eV per atom): -1.60

Cell and atoms, written as CIF:
```
data_GdSe2
_cell_length_a 4.100
_cell_length_b 4.100
_cell_length_c 8.390
_cell_angle_alpha 90.00
_cell_angle_beta 90.00
_cell_angle_gamma 90.00
_space_group_name_H-M_alt 'P 4/n m m'
_space_group_IT_number 129
loop_
_space_group_symop_operation_xyz
'x,y,z'
'-x,-y,-z'
'-y+1/2,x,z'
'y+1/2,-x,-z'
'-x+1/2,-y+1/2,z'
'x+1/2,y+1/2,-z'
'y,-x+1/2,z'
'-y,x+1/2,-z'
'x+1/2,-y,-z'
'-x+1/2,y,z'
'-y,-x,-z'
'y,x,z'
'-x,y+1/2,-z'
'x,-y+1/2,z'
'y+1/2,x+1/2,-z'
'-y+1/2,-x+1/2,z'
loop_
_atom_site_label
_atom_site_type_symbol
_atom_site_fract_x
_atom_site_fract_y
_atom_site_fract_z
_atom_site_occupancy
Gd1 Gd 0.250 0.250 0.227 1
Se1 Se 0.250 0.250 0.868 1
Se2 Se 0.250 0.750 0.500 1
```


No. 14
The following is a DFT calculation (PBE) of a relaxed Ac2Ge4Pt3Rh crystal.

Cell and atoms, written as CIF:
```
data_Ac2Ge4Pt3Rh
_cell_length_a 4.461
_cell_length_b 4.461
_cell_length_c 10.267
_cell_angle_alpha 90.00
_cell_angle_beta 90.00
_cell_angle_gamma 90.00
_space_group_name_H-M_alt 'P -4 m 2'
_space_group_IT_number 115
_space_group_name_Hall 'P -4 -2'
loop_
_atom_site_label
_atom_site_type_symbol
_atom_site_fract_x
_atom_site_fract_y
_atom_site_fract_z
_atom_site_occupancy
Ac1 Ac 0.000 0.500 0.247 1
Ge1 Ge 0.000 0.000 0.000 1
Ge2 Ge 0.000 0.500 0.623 1
Ge3 Ge 0.500 0.500 0.000 1
Pt1 Pt 0.000 0.500 0.873 1
Pt2 Pt 0.500 0.500 0.500 1
Rh1 Rh 0.000 0.000 0.500 1
```


No. 15
The following is a DFT calculation (PBE) of a relaxed Mo2RuAu crystal.

Computed properties:
Relative energy among the computed polymorphs (eV/atom): 0.1349

Cell and atoms, written as CIF:
```
data_Mo2RuAu
_cell_length_a 5.651
_cell_length_b 5.661
_cell_length_c 7.832
_cell_angle_alpha 90.00
_cell_angle_beta 90.00
_cell_angle_gamma 90.00
_space_group_name_H-M_alt 'F 2 2 2'
_space_group_IT_number 22
_space_group_name_Hall 'F 2 2'
loop_
_atom_site_label
_atom_site_type_symbol
_atom_site_fract_x
_atom_site_fract_y
_atom_site_fract_z
_atom_site_occupancy
Mo1 Mo 0.000 0.000 0.000 1
Mo2 Mo 0.250 0.250 0.250 1
Ru1 Ru 0.000 0.000 0.500 1
Au1 Au 0.250 0.250 0.750 1
```


No. 16
The following is a DFT calculation (PBE) of a relaxed KInPb2Cl8 crystal.

Computed properties:
Formation energy from raw total energies (eV per atom): -1.26

Cell and atoms, written as CIF:
```
data_KInPb2Cl8
_cell_length_a 6.474
_cell_length_b 8.789
_cell_length_c 6.743
_cell_angle_alpha 90.00
_cell_angle_beta 91.08
_cell_angle_gamma 90.00
_space_group_name_H-M_alt 'P 1 2/m 1'
_space_group_IT_number 10
_space_group_name_Hall '-P 2y'
loop_
_atom_site_label
_atom_site_type_symbol
_atom_site_fract_x
_atom_site_fract_y
_atom_site_fract_z
_atom_site_occupancy
K1 K 0.000 0.000 0.000 1
In1 In 0.000 0.500 0.000 1
Pb1 Pb 0.500 0.254 0.500 1
Cl1 Cl 0.229 0.291 0.149 1
Cl2 Cl 0.230 0.500 0.687 1
Cl3 Cl 0.275 0.000 0.636 1
```


No. 17
The following is a DFT calculation (PBE) of a relaxed KCrMo2 crystal.

Computed properties:
Relative energy among the computed polymorphs (eV/atom): 0.6486

Cell and atoms, written as CIF:
```
data_KCrMo2
_cell_length_a 5.386
_cell_length_b 10.260
_cell_length_c 2.695
_cell_angle_alpha 90.00
_cell_angle_beta 90.00
_cell_angle_gamma 90.00
_space_group_name_H-M_alt 'C m m m'
_space_group_IT_number 65
_space_group_name_Hall '-C 2 2'
loop_
_atom_site_label
_atom_site_type_symbol
_atom_site_fract_x
_atom_site_fract_y
_atom_site_fract_z
_atom_site_occupancy
K1 K 0.000 0.000 0.000 1
Cr1 Cr 0.000 0.500 0.000 1
Mo1 Mo 0.250 0.250 0.500 1
```


No. 18
The following is a DFT calculation (PBE) of a relaxed RhPb2Au crystal.

Cell and atoms, written as CIF:
```
data_RhPb2Au
_cell_length_a 3.5766
_cell_length_b 3.5766
_cell_length_c 25.9085
_cell_angle_alpha 90.00
_cell_angle_beta 90.00
_cell_angle_gamma 120.00
_space_group_name_H-M_alt 'R 3 m'
_space_group_IT_number 160
_space_group_name_Hall 'R 3 -2"'
loop_
_atom_site_label
_atom_site_type_symbol
_atom_site_fract_x
_atom_site_fract_y
_atom_site_fract_z
_atom_site_occupancy
Rh1 Rh 0.0000 0.0000 0.0000 1
Pb1 Pb 0.0000 0.0000 0.2642 1
Pb2 Pb 0.0000 0.0000 0.4843 1
Au1 Au 0.0000 0.0000 0.7378 1
```


No. 19
The following is a DFT calculation (PBE) of a relaxed SmDy5Ag4 crystal.

Cell and atoms, written as CIF:
```
data_SmDy5Ag4
_cell_length_a 3.609
_cell_length_b 3.609
_cell_length_c 19.743
_cell_angle_alpha 90.00
_cell_angle_beta 90.00
_cell_angle_gamma 90.00
_space_group_name_H-M_alt 'P 4/m m m'
_space_group_IT_number 123
_space_group_name_Hall '-P 4 2'
loop_
_atom_site_label
_atom_site_type_symbol
_atom_site_fract_x
_atom_site_fract_y
_atom_site_fract_z
_atom_site_occupancy
Sm1 Sm 0.000 0.000 0.000 1
Dy1 Dy 0.500 0.500 0.127 1
Dy2 Dy 0.500 0.500 0.313 1
Dy3 Dy 0.500 0.500 0.500 1
Ag1 Ag 0.000 0.000 0.219 1
Ag2 Ag 0.000 0.000 0.407 1
```


No. 20
The following is a DFT calculation (PBE) of a relaxed Ca2TlCd2 crystal.

Computed properties:
Relative energy among the computed polymorphs (eV/atom): 0.0137

Cell and atoms, written as CIF:
```
data_Ca2TlCd2
_cell_length_a 8.185
_cell_length_b 8.185
_cell_length_c 4.327
_cell_angle_alpha 90.00
_cell_angle_beta 90.00
_cell_angle_gamma 90.00
_space_group_name_H-M_alt 'P 4/m b m'
_space_group_IT_number 127
_space_group_name_Hall '-P 4 2ab'
loop_
_atom_site_label
_atom_site_type_symbol
_atom_site_fract_x
_atom_site_fract_y
_atom_site_fract_z
_atom_site_occupancy
Ca1 Ca 0.173 0.327 0.000 1
Tl1 Tl 0.000 0.000 0.500 1
Cd1 Cd 0.126 0.626 0.500 1
```


no.,electronic total energy (eV/atom)
1,-7.41
2,-5.49
3,-5.44
4,-4.08
5,-9.86
6,-5.87
7,-4.32
8,-5.37
9,-6.85
10,-5.04
11,-5.70
12,-4.60
13,-8.62
14,-6.14
15,-8.33
16,-3.43
17,-6.64
18,-4.35
19,-4.16
20,-1.93